No. 1
VASP calculation (PBE) on Pr3Nd2Pb after structural relaxation.

The structure belongs to space group Cmmm (No. 65); the cell edges are 5.0141, 15.8419 and 5.0486 Å and the angles 90.00°, 90.00° and 90.00°. The asymmetric unit holds Pr at (0.0000, 0.0000, 0.0000), Pr at (0.0000, 0.3364, 0.0000), Nd at (0.0000, 0.1621, 0.5000) and Pb at (0.0000, 0.5000, 0.5000).

As for the calculated formation energy: -0.19 eV/atom. The final energy is -4.791 eV/atom.


No. 2
VASP calculation (PBE) on Pr3NdPb4 after structural relaxation.

The structure belongs to space group Immm (No. 71); the cell edges are 3.7297, 7.4891 and 19.0245 Å and the angles 90.00°, 90.00° and 90.00°. The asymmetric unit holds Pr at (0.0000, 0.0000, 0.0000), Pr at (0.0000, 0.5000, 0.2183), Nd at (0.0000, 0.0000, 0.5000) and Pb at (0.0000, 0.2851, 0.3725).

As for the calculated formation energy: -0.41 eV/atom. The final energy is -4.648 eV/atom.


No. 3
VASP calculation (PBE) on Pr2Nd3Pb4 after structural relaxation.

The structure belongs to space group P2_1/c (No. 14); the cell edges are 8.7144, 8.6832 and 8.3828 Å and the angles 90.00°, 111.60° and 90.00°. The asymmetric unit holds Pr at (0.1960, 0.1806, 0.0597), Nd at (0.2423, 0.6629, 0.2344), Nd at (0.5000, 0.0000, 0.5000), Pb at (0.0850, 0.5367, 0.8272) and Pb at (0.4880, 0.1387, 0.8631).

As for the calculated formation energy: -0.59 eV/atom. The final energy is -4.889 eV/atom.


No. 4
VASP calculation (PBE) on Pr4NdPb4 after structural relaxation.

The structure belongs to space group P4_2/n (No. 86, origin choice 2); the cell edges are 9.8599, 9.8599 and 6.5653 Å and the angles 90.00°, 90.00° and 90.00°. The asymmetric unit holds Pr at (0.0350, 0.6653, 0.1309), Nd at (0.2500, 0.2500, 0.2500) and Pb at (0.0322, 0.6473, 0.6239).

As for the calculated formation energy: -0.32 eV/atom. The final energy is -4.618 eV/atom.


No. 5
VASP calculation (PBE) on PrNd6Pb after structural relaxation.

The structure belongs to space group R-3 (No. 148, hexagonal axes); the cell edges are 9.1439, 9.1439 and 11.2142 Å and the angles 90.00°, 90.00° and 120.00°. The asymmetric unit holds Pr at (0.0000, 0.0000, 0.0000), Nd at (0.0054, 0.2526, 0.2531) and Pb at (0.0000, 0.0000, 0.5000).

As for the calculated formation energy: -0.07 eV/atom. The final energy is -4.707 eV/atom.


- Which of these has the highest final energy?
  Pr4NdPb4


- Which formula does entry 3 have?
  Pr2Nd3Pb4


- Among the records above, which one has the highest final energy?
  Pr4NdPb4


- The highest calculated formation energy belongs to which entry?
  PrNd6Pb